Entry 1:
DFT (GGA-PBE) results for a relaxed structure of BaAcO3.

abc: 4.7117 4.7117 4.7117
angles: 90.00 90.00 90.00
With the nearest neighbours (Å) after each atom.
Fractional positions:
O 0.0000 0.5000 0.0000  2 Ac 2.36
O 0.5000 0.0000 0.0000  2 Ac 2.36
O 0.0000 0.0000 0.5000  2 Ac 2.36
Ac 0.0000 0.0000 0.0000  6 O 2.36
Ba 0.5000 0.5000 0.5000  12 O 3.33

Output
Total DFT energy (no corrections) = -6.65 eV/atom
N(E_F) = 2.5 states/eV per cell
Space-group type = Pm-3m, No. 221
Formation energy without anion corrections = -2.471 eV per atom
Crystal system = cubic
Total moment = 0.000 μB per cell


Entry 2:
DFT (GGA-PBE) results for a relaxed structure of Ba2AcO3.

abc: 6.7738 6.7738 12.3276
angles: 100.57 100.57 109.40
With the nearest neighbours (Å) after each atom.
Fractional positions:
O 0.0896 0.0596 0.6778  2 Ac 2.59-2.60, 2 Ba 2.79-2.82
O 0.7824 0.7824 0.0000  2 Ac 2.59, 2 Ba 2.78
O 0.6619 0.1318 0.8222  2 Ac 2.59-2.60, 2 Ba 2.79-2.82
O 0.9404 0.9104 0.3222  2 Ac 2.59-2.60, 2 Ba 2.79-2.82
O 0.0324 0.5324 0.5000  2 Ac 2.59, 2 Ba 2.78
O 0.3818 0.4119 0.3222  2 Ac 2.59-2.60, 2 Ba 2.79-2.82
O 0.4676 0.9676 0.5000  2 Ac 2.59, 2 Ba 2.78
O 0.5881 0.6182 0.6778  2 Ac 2.59-2.60, 2 Ba 2.79-2.82
O 0.1604 0.6904 0.8222  2 Ac 2.59-2.60, 2 Ba 2.79-2.82
O 0.2176 0.2176 0.0000  2 Ac 2.59, 2 Ba 2.78
O 0.8682 0.3381 0.1778  2 Ac 2.59-2.60, 2 Ba 2.79-2.82
O 0.3096 0.8396 0.1778  2 Ac 2.59-2.60, 2 Ba 2.79-2.82
Ba 0.9981 0.4981 0.9963  6 O 2.78-2.91
Ba 0.8316 0.3316 0.6633  6 O 2.79-2.94
Ba 0.5816 0.5816 0.1633  6 O 2.79-2.94
Ba 0.7481 0.7481 0.4963  6 O 2.78-2.91
Ba 0.5019 0.0019 0.0037  6 O 2.78-2.91
Ba 0.4184 0.4184 0.8367  6 O 2.79-2.94
Ba 0.2519 0.2519 0.5037  6 O 2.78-2.91
Ba 0.6684 0.1684 0.3367  6 O 2.79-2.94
Ac 0.0837 0.0837 0.1674  6 O 2.59-2.60
Ac 0.1663 0.6663 0.3326  6 O 2.59-2.60
Ac 0.9163 0.9163 0.8326  6 O 2.59-2.60
Ac 0.3337 0.8337 0.6674  6 O 2.59-2.60

Output
Total DFT energy (no corrections) = -6.38 eV/atom
N(E_F) = 4.8 states/eV per cell
Space-group type = Fddd, No. 70
Formation energy without anion corrections = -2.573 eV per atom
Crystal system = orthorhombic
Distance to the lowest polymorph of the same formula = 0 meV/atom
Total moment = 0.000 μB per cell


Entry 3:
DFT (GGA-PBE) results for a relaxed structure of Ba2AcO4.

abc: 3.9356 6.6391 11.2109
angles: 90.00 90.00 90.00
With the nearest neighbours (Å) after each atom.
Fractional positions:
Ba 0.5000 0.5582 0.3246  6 O 2.64-2.79
Ba 0.5000 0.4418 0.6754  6 O 2.64-2.79
Ba 0.5000 0.0582 0.1754  6 O 2.64-2.79
Ba 0.5000 0.9418 0.8246  6 O 2.64-2.79
O 0.0000 0.3529 0.1970  1 Ac 2.41
O 0.0000 0.6471 0.8030  1 Ac 2.41
O 0.5000 0.2678 0.9593  2 Ac 2.54, 2 Ba 2.64-2.79
O 0.5000 0.7678 0.5407  2 Ac 2.54, 2 Ba 2.64-2.79
O 0.0000 0.1471 0.6970  1 Ac 2.41
O 0.5000 0.7322 0.0407  2 Ac 2.54, 2 Ba 2.64-2.79
O 0.0000 0.8529 0.3030  1 Ac 2.41
O 0.5000 0.2322 0.4593  2 Ac 2.54, 2 Ba 2.64-2.79
Ac 0.0000 0.5000 0.0000  6 O 2.41-2.54
Ac 0.0000 0.0000 0.5000  6 O 2.41-2.54

Output
Total DFT energy (no corrections) = -6.56 eV/atom
N(E_F) = 10.3 states/eV per cell
Space-group type = Pbam, No. 55
Formation energy without anion corrections = -2.588 eV per atom
Crystal system = orthorhombic
Distance to the lowest polymorph of the same formula = 0 meV/atom
Total moment = 2.095 μB per cell


Entry 4:
DFT (GGA-PBE) results for a relaxed structure of Ba3AcO4.

abc: 3.9113 6.7959 6.7959
angles: 109.35 90.00 90.00
With the nearest neighbours (Å) after each atom.
Fractional positions:
O 0.5000 0.7673 0.2327  1 Ac 2.58, 4 Ba 2.78
O 0.0000 0.2230 0.2230  2 Ac 2.63, 4 Ba 2.78-2.93
O 0.0000 0.7770 0.7770  2 Ac 2.63, 4 Ba 2.78-2.93
O 0.5000 0.2327 0.7673  1 Ac 2.58, 4 Ba 2.78
Ac 0.5000 0.0000 0.0000  6 O 2.58-2.63
Ba 0.0000 0.0000 0.5000  6 O 2.78
Ba 0.0000 0.5000 0.0000  6 O 2.78
Ba 0.5000 0.5000 0.5000  6 O 2.93-2.96

Output
Total DFT energy (no corrections) = -6.26 eV/atom
N(E_F) = 2.9 states/eV per cell
Space-group type = Cmmm, No. 65
Formation energy without anion corrections = -2.542 eV per atom
Crystal system = orthorhombic
Distance to the lowest polymorph of the same formula = 0 meV/atom
Total moment = 0.000 μB per cell


Entry 5:
DFT (GGA-PBE) results for a relaxed structure of Ba2AcO4.

abc: 4.6979 4.6979 7.7048
angles: 107.75 107.75 90.00
With the nearest neighbours (Å) after each atom.
Fractional positions:
Ba 0.3527 0.3527 0.7054  1 O 2.46
Ba 0.6473 0.6473 0.2946  1 O 2.46
O 0.0000 0.5000 0.0000  2 Ac 2.35
O 0.1761 0.1761 0.3523  1 Ac 2.45, 1 Ba 2.46
O 0.5000 0.0000 0.0000  2 Ac 2.35
O 0.8239 0.8239 0.6477  1 Ac 2.45, 1 Ba 2.46
Ac 0.0000 0.0000 0.0000  6 O 2.35-2.45

Output
Total DFT energy (no corrections) = -6.44 eV/atom
N(E_F) = 4.1 states/eV per cell
Space-group type = I4/mmm, No. 139
Formation energy without anion corrections = -2.474 eV per atom
Crystal system = tetragonal
Distance to the lowest polymorph of the same formula = 115 meV/atom
Total moment = 0.398 μB per cell


Entry 6:
DFT (GGA-PBE) results for a relaxed structure of BaAcO3.

abc: 6.6412 6.6412 6.5699
angles: 59.64 59.64 60.00
With the nearest neighbours (Å) after each atom.
Fractional positions:
O 0.8480 0.2500 0.2500  2 Ac 2.42, 1 Ba 2.67
O 0.3480 0.1520 0.7500  2 Ac 2.42, 1 Ba 2.67
O 0.6520 0.8480 0.2500  2 Ac 2.42, 1 Ba 2.67
O 0.1520 0.7500 0.7500  2 Ac 2.42, 1 Ba 2.67
O 0.2500 0.6520 0.2500  2 Ac 2.42, 1 Ba 2.67
O 0.7500 0.3480 0.7500  2 Ac 2.42, 1 Ba 2.67
Ac 0.0000 0.0000 0.0000  6 O 2.42
Ac 0.5000 0.5000 0.5000  6 O 2.42
Ba 0.7500 0.7500 0.7500  3 O 2.67
Ba 0.2500 0.2500 0.2500  3 O 2.67

Output
Total DFT energy (no corrections) = -6.76 eV/atom
N(E_F) = 3.6 states/eV per cell
Space-group type = R-3c, No. 167
Formation energy without anion corrections = -2.583 eV per atom
Crystal system = trigonal
Total moment = 2.026 μB per cell


Entry 7:
DFT (GGA-PBE) results for a relaxed structure of BaAc2O4.

abc: 3.8230 11.0756 13.0967
angles: 90.00 90.00 90.00
With the nearest neighbours (Å) after each atom.
Fractional positions:
O 0.7500 0.7838 0.1826  3 Ac 2.49-2.57
O 0.2500 0.9312 0.9195  3 Ac 2.54-2.59
O 0.7500 0.0006 0.7132  3 Ac 2.44-2.46
O 0.2500 0.4312 0.5805  3 Ac 2.54-2.59
O 0.7500 0.5006 0.7868  3 Ac 2.44-2.46
O 0.2500 0.9994 0.2868  3 Ac 2.44-2.46
O 0.2500 0.1292 0.5160  3 Ac 2.59-2.65, 2 Ba 2.86
O 0.2500 0.7162 0.6826  3 Ac 2.49-2.57
O 0.7500 0.0688 0.0805  3 Ac 2.54-2.59
O 0.7500 0.3708 0.0160  3 Ac 2.59-2.65, 2 Ba 2.86
O 0.7500 0.8708 0.4840  3 Ac 2.59-2.65, 2 Ba 2.86
O 0.7500 0.2838 0.3174  3 Ac 2.49-2.57
O 0.2500 0.2162 0.8174  3 Ac 2.49-2.57
O 0.2500 0.6292 0.9840  3 Ac 2.59-2.65, 2 Ba 2.86
O 0.7500 0.5688 0.4195  3 Ac 2.54-2.59
O 0.2500 0.4994 0.2132  3 Ac 2.44-2.46
Ac 0.7500 0.5731 0.1160  6 O 2.44-2.65
Ac 0.2500 0.4269 0.8840  6 O 2.44-2.65
Ac 0.7500 0.5847 0.6129  6 O 2.46-2.59
Ac 0.7500 0.0847 0.8871  6 O 2.46-2.59
Ac 0.7500 0.0731 0.3840  6 O 2.44-2.65
Ac 0.2500 0.9153 0.1129  6 O 2.46-2.59
Ac 0.2500 0.9269 0.6160  6 O 2.44-2.65
Ac 0.2500 0.4153 0.3871  6 O 2.46-2.59
Ba 0.7500 0.2486 0.6434  7 O 2.86-3.00
Ba 0.7500 0.7486 0.8566  7 O 2.86-3.00
Ba 0.2500 0.2514 0.1434  7 O 2.86-3.00
Ba 0.2500 0.7514 0.3566  7 O 2.86-3.00

Output
Total DFT energy (no corrections) = -7.35 eV/atom
N(E_F) = 0.0 states/eV per cell
Space-group type = Pnma, No. 62
Formation energy without anion corrections = -3.071 eV per atom
Crystal system = orthorhombic
Total moment = 0.000 μB per cell


Entry 8:
DFT (GGA-PBE) results for a relaxed structure of Ba3AcO4.

abc: 5.5271 5.5271 5.5271
angles: 90.00 90.00 90.00
With the nearest neighbours (Å) after each atom.
Fractional positions:
O 0.5000 0.0000 0.0000  4 Ba 2.76, 2 Ac 2.76
O 0.0000 0.0000 0.5000  4 Ba 2.76, 2 Ac 2.76
O 0.5000 0.5000 0.5000  6 Ba 2.76
O 0.0000 0.5000 0.0000  4 Ba 2.76, 2 Ac 2.76
Ac 0.0000 0.0000 0.0000  6 O 2.76
Ba 0.5000 0.0000 0.5000  6 O 2.76
Ba 0.5000 0.5000 0.0000  6 O 2.76
Ba 0.0000 0.5000 0.5000  6 O 2.76

Output
Total DFT energy (no corrections) = -6.19 eV/atom
N(E_F) = 1.7 states/eV per cell
Space-group type = Pm-3m, No. 221
Formation energy without anion corrections = -2.477 eV per atom
Crystal system = cubic
Distance to the lowest polymorph of the same formula = 66 meV/atom
Total moment = 0.000 μB per cell


Entry 9:
DFT (GGA-PBE) results for a relaxed structure of BaAcO3.

abc: 3.8793 6.6953 14.7648
angles: 90.00 90.00 90.00
With the nearest neighbours (Å) after each atom.
Fractional positions:
O 0.7500 0.4597 0.9076  2 Ac 2.45, 1 Ba 2.73
O 0.7500 0.6267 0.4359  1 O 2.46, 3 Ac 2.61-2.69
O 0.7500 0.4117 0.3004  1 O 2.46, 1 Ac 2.54
O 0.2500 0.8733 0.9359  1 O 2.46, 3 Ac 2.61-2.69
O 0.7500 0.9117 0.1996  1 O 2.46, 1 Ac 2.54
O 0.7500 0.9597 0.5924  2 Ac 2.45, 1 Ba 2.73
O 0.7500 0.1267 0.0641  1 O 2.46, 3 Ac 2.61-2.69
O 0.2500 0.3733 0.5641  1 O 2.46, 3 Ac 2.61-2.69
O 0.2500 0.0403 0.4076  2 Ac 2.45, 1 Ba 2.73
O 0.2500 0.5883 0.6996  1 O 2.46, 1 Ac 2.54
O 0.2500 0.0883 0.8004  1 O 2.46, 1 Ac 2.54
O 0.2500 0.5403 0.0924  2 Ac 2.45, 1 Ba 2.73
Ba 0.7500 0.2904 0.7008  7 O 2.73-2.85
Ba 0.7500 0.7904 0.7992  7 O 2.73-2.85
Ba 0.2500 0.7096 0.2992  7 O 2.73-2.85
Ba 0.2500 0.2096 0.2008  7 O 2.73-2.85
Ac 0.2500 0.7610 0.5464  6 O 2.45-2.69
Ac 0.2500 0.2610 0.9536  6 O 2.45-2.69
Ac 0.7500 0.7390 0.0464  6 O 2.45-2.69
Ac 0.7500 0.2390 0.4536  6 O 2.45-2.69

Output
Total DFT energy (no corrections) = -6.76 eV/atom
Space-group type = Pnma, No. 62
Formation energy without anion corrections = -2.583 eV per atom
Crystal system = orthorhombic
Total moment = 4.070 μB per cell